Entry 1:
Compound: Pt3C
Source: the Alexandria database
Functional: PBE
Structure: relaxed

Properties
The calculation puts the size of the total moment at 0.00 μB per cell. Its space group is P4/mmm, No. 123. For the uncorrected energy, the calculation gives -5.9445 eV/atom. For the formation energy, the calculation gives 0.8921 eV/atom.

Cell lengths 2.7620, 2.7620, 7.0303 Å; angles 90.00, 90.00, 90.00 degrees
Element x y z (fractional)
Pt1 0.0000 0.0000 0.0000
Pt2 0.5000 0.5000 0.3019
Pt3 0.5000 0.5000 0.6981
C1 0.0000 0.0000 0.5000



Entry 2:
Compound: PtC3
Source: the Alexandria database
Functional: PBE
Structure: relaxed

Properties
The calculation puts the size of the total moment at 0.00 μB per cell. For the excess energy over the best structure of this formula in the dataset, the calculation gives 33.191 kcal/mol of atoms. Its space group is R-3m, No. 166. For the uncorrected energy, the calculation gives -6.2854 eV/atom. For the formation energy, the calculation gives 2.1427 eV/atom.

Cell lengths 2.6498, 2.6498, 16.7515 Å; angles 90.00, 90.00, 120.00 degrees
Element x y z (fractional)
Pt1 0.0000 0.0000 0.0000
Pt2 0.3333 0.6667 0.6667
Pt3 0.6667 0.3333 0.3333
C1 0.0000 0.0000 0.2204
C2 0.0000 0.0000 0.5000
C3 0.0000 0.0000 0.7796
C4 0.3333 0.6667 0.1667
C5 0.3333 0.6667 0.4462
C6 0.3333 0.6667 0.8871
C7 0.6667 0.3333 0.1129
C8 0.6667 0.3333 0.5538
C9 0.6667 0.3333 0.8333



Entry 3:
Compound: PtC
Source: the Alexandria database
Functional: PBE
Structure: relaxed

Properties
The calculation puts the size of the total moment at 0.01 μB per cell. For the excess energy over the best structure of this formula in the dataset, the calculation gives 49.295 kcal/mol of atoms. Its space group is Fd-3m, No. 227. For the uncorrected energy, the calculation gives -5.0976 eV/atom. For the formation energy, the calculation gives 2.5347 eV/atom.

Cell lengths 5.8417, 5.8417, 5.8417 Å; angles 90.00, 90.00, 90.00 degrees
Element x y z (fractional)
Pt1 0.1250 0.1250 0.1250
Pt2 0.1250 0.6250 0.6250
Pt3 0.3750 0.3750 0.8750
Pt4 0.3750 0.8750 0.3750
Pt5 0.6250 0.1250 0.6250
Pt6 0.6250 0.6250 0.1250
Pt7 0.8750 0.3750 0.3750
Pt8 0.8750 0.8750 0.8750
C1 0.1250 0.1250 0.6250
C2 0.1250 0.6250 0.1250
C3 0.3750 0.3750 0.3750
C4 0.3750 0.8750 0.8750
C5 0.6250 0.1250 0.1250
C6 0.6250 0.6250 0.6250
C7 0.8750 0.3750 0.8750
C8 0.8750 0.8750 0.3750



Entry 4:
Compound: Pt4C
Source: the Alexandria database
Functional: PBE
Structure: relaxed

Properties
The calculation puts the size of the total moment at 0.00 μB per cell. For the excess energy over the best structure of this formula in the dataset, the calculation gives 0.062 kcal/mol of atoms. Its space group is Pm-3m, No. 221. For the uncorrected energy, the calculation gives -6.1948 eV/atom. For the formation energy, the calculation gives 0.4826 eV/atom.

Cell lengths 4.1726, 4.1726, 4.1726 Å; angles 90.00, 90.00, 90.00 degrees
Element x y z (fractional)
Pt1 0.0000 0.0000 0.0000
Pt2 0.0000 0.5000 0.5000
Pt3 0.5000 0.0000 0.5000
Pt4 0.5000 0.5000 0.0000
C1 0.5000 0.5000 0.5000



Entry 5:
Compound: Pu3PtC
Source: the Alexandria database
Functional: PBE
Structure: relaxed

Properties
The calculation puts the size of the total moment at 16.16 μB per cell. Its space group is Pm-3m, No. 221. For the uncorrected energy, the calculation gives -11.8070 eV/atom. For the formation energy, the calculation gives -0.1549 eV/atom.

Cell lengths 4.7509, 4.7509, 4.7509 Å; angles 90.00, 90.00, 90.00 degrees
Element x y z (fractional)
Pu1 0.0000 0.0000 0.5000
Pu2 0.0000 0.5000 0.0000
Pu3 0.5000 0.0000 0.0000
Pt1 0.5000 0.5000 0.5000
C1 0.0000 0.0000 0.0000



Entry 6:
Compound: Pu2PtC
Source: the Alexandria database
Functional: PBE
Structure: relaxed

Properties
The calculation puts the size of the total moment at 10.24 μB per cell. For the excess energy over the best structure of this formula in the dataset, the calculation gives 0.000 kcal/mol of atoms. Its space group is P4/mmm, No. 123. For the uncorrected energy, the calculation gives -11.1788 eV/atom. For the formation energy, the calculation gives -0.1966 eV/atom.

Cell lengths 3.0957, 3.0957, 7.2095 Å; angles 90.00, 90.00, 90.00 degrees
Element x y z (fractional)
Pu1 0.0000 0.0000 0.1940
Pu2 0.0000 0.0000 0.8060
Pt1 0.5000 0.5000 0.5000
C1 0.5000 0.5000 0.0000



Entry 7:
Compound: Pu2PtC
Source: the Alexandria database
Functional: PBE
Structure: relaxed

Properties
The calculation puts the size of the total moment at 6.43 μB per cell. For the excess energy over the best structure of this formula in the dataset, the calculation gives 10.595 kcal/mol of atoms. Its space group is R-3m, No. 166. For the uncorrected energy, the calculation gives -10.7193 eV/atom. For the formation energy, the calculation gives 0.2628 eV/atom.

Cell lengths 3.9653, 3.9653, 14.7739 Å; angles 90.00, 90.00, 120.00 degrees
Element x y z (fractional)
Pu1 0.0000 0.0000 0.2027
Pu2 0.0000 0.0000 0.7973
Pu3 0.3333 0.6667 0.4640
Pu4 0.3333 0.6667 0.8694
Pu5 0.6667 0.3333 0.1306
Pu6 0.6667 0.3333 0.5360
Pt1 0.0000 0.0000 0.0000
Pt2 0.3333 0.6667 0.6667
Pt3 0.6667 0.3333 0.3333
C1 0.0000 0.0000 0.5000
C2 0.3333 0.6667 0.1667
C3 0.6667 0.3333 0.8333



Entry 8:
Compound: PuPtC
Source: the Alexandria database
Functional: PBE
Structure: relaxed

Properties
The calculation puts the size of the total moment at 7.79 μB per cell. Its space group is P4/nmm, No. 129. For the uncorrected energy, the calculation gives -9.9991 eV/atom. For the formation energy, the calculation gives -0.1335 eV/atom.

Cell lengths 3.5001, 3.5001, 7.6583 Å; angles 90.00, 90.00, 90.00 degrees
Element x y z (fractional)
Pu1 0.2500 0.2500 0.1696
Pu2 0.7500 0.7500 0.8304
Pt1 0.2500 0.2500 0.5941
Pt2 0.7500 0.7500 0.4059
C1 0.2500 0.2500 0.8677
C2 0.7500 0.7500 0.1323



Entry 9:
Compound: Rb2PtC2
Source: the Alexandria database
Functional: PBE
Structure: relaxed

Properties
The calculation puts the size of the total moment at 0.00 μB per cell. Its space group is P-3m1, No. 164. For the uncorrected energy, the calculation gives -5.3558 eV/atom. For the formation energy, the calculation gives -0.0711 eV/atom.

Cell lengths 5.4764, 5.4764, 5.2419 Å; angles 90.00, 90.00, 120.00 degrees
Element x y z (fractional)
Rb1 0.3333 0.6667 0.2752
Rb2 0.6667 0.3333 0.7248
Pt1 0.0000 0.0000 0.0000
C1 0.0000 0.0000 0.3782
C2 0.0000 0.0000 0.6218



Entry 10:
Compound: RbPtC2
Source: the Alexandria database
Functional: PBE
Structure: relaxed

Properties
The calculation puts the size of the total moment at 0.00 μB per cell. Its space group is I-42d, No. 122. For the uncorrected energy, the calculation gives -5.1974 eV/atom. For the formation energy, the calculation gives 1.1667 eV/atom.

Cell lengths 6.1105, 6.1105, 8.7961 Å; angles 90.00, 90.00, 90.00 degrees
Element x y z (fractional)
Rb1 0.0000 0.0000 0.0000
Rb2 0.0000 0.5000 0.2500
Rb3 0.5000 0.0000 0.7500
Rb4 0.5000 0.5000 0.5000
Pt1 0.0000 0.0000 0.5000
Pt2 0.0000 0.5000 0.7500
Pt3 0.5000 0.0000 0.2500
Pt4 0.5000 0.5000 0.0000
C1 0.0750 0.2500 0.6250
C2 0.2500 0.5750 0.8750
C3 0.2500 0.9250 0.3750
C4 0.4250 0.2500 0.1250
C5 0.5750 0.7500 0.1250
C6 0.7500 0.0750 0.3750
C7 0.7500 0.4250 0.8750
C8 0.9250 0.7500 0.6250



Entry 11:
Compound: RbPtC2
Source: the Alexandria database
Functional: PBE
Structure: relaxed

Properties
The calculation puts the size of the total moment at 0.00 μB per cell. Its space group is Fm-3m, No. 225. For the uncorrected energy, the calculation gives -3.7386 eV/atom. For the formation energy, the calculation gives 2.6254 eV/atom.

Cell lengths 6.1240, 6.1240, 6.1240 Å; angles 90.00, 90.00, 90.00 degrees
Element x y z (fractional)
Rb1 0.0000 0.0000 0.0000
Rb2 0.0000 0.5000 0.5000
Rb3 0.5000 0.0000 0.5000
Rb4 0.5000 0.5000 0.0000
Pt1 0.0000 0.0000 0.5000
Pt2 0.0000 0.5000 0.0000
Pt3 0.5000 0.0000 0.0000
Pt4 0.5000 0.5000 0.5000
C1 0.2500 0.2500 0.2500
C2 0.2500 0.2500 0.7500
C3 0.2500 0.7500 0.2500
C4 0.2500 0.7500 0.7500
C5 0.7500 0.2500 0.2500
C6 0.7500 0.2500 0.7500
C7 0.7500 0.7500 0.2500
C8 0.7500 0.7500 0.7500



Entry 12:
Compound: RbPt2C
Source: the Alexandria database
Functional: PBE
Structure: relaxed

Properties
The calculation puts the size of the total moment at 0.00 μB per cell. Its space group is I4_1/amd, No. 141. For the uncorrected energy, the calculation gives -5.3468 eV/atom. For the formation energy, the calculation gives 0.2214 eV/atom.

Cell lengths 5.5901, 5.5901, 11.6316 Å; angles 90.00, 90.00, 90.00 degrees
Element x y z (fractional)
Rb1 0.0000 0.2500 0.3750
Rb2 0.0000 0.7500 0.6250
Rb3 0.5000 0.2500 0.1250
Rb4 0.5000 0.7500 0.8750
Pt1 0.0000 0.0000 0.0000
Pt2 0.0000 0.5000 0.0000
Pt3 0.2500 0.2500 0.7500
Pt4 0.2500 0.7500 0.2500
Pt5 0.5000 0.0000 0.5000
Pt6 0.5000 0.5000 0.5000
Pt7 0.7500 0.2500 0.7500
Pt8 0.7500 0.7500 0.2500
C1 0.0000 0.2500 0.8750
C2 0.0000 0.7500 0.1250
C3 0.5000 0.2500 0.6250
C4 0.5000 0.7500 0.3750



Entry 13:
Compound: Rb3PtC
Source: the Alexandria database
Functional: PBE
Structure: relaxed

Properties
The calculation puts the size of the total moment at 3.00 μB per cell. For the excess energy over the best structure of this formula in the dataset, the calculation gives 0.000 kcal/mol of atoms. Its space group is Pm-3m, No. 221. For the uncorrected energy, the calculation gives -2.5560 eV/atom. For the formation energy, the calculation gives 1.0775 eV/atom.

Cell lengths 5.8268, 5.8268, 5.8268 Å; angles 90.00, 90.00, 90.00 degrees
Element x y z (fractional)
Rb1 0.0000 0.0000 0.5000
Rb2 0.0000 0.5000 0.0000
Rb3 0.5000 0.0000 0.0000
Pt1 0.5000 0.5000 0.5000
C1 0.0000 0.0000 0.0000



Entry 14:
Compound: Rb2SnPtC
Source: the Alexandria database
Functional: PBE
Structure: relaxed

Properties
The calculation puts the size of the total moment at 0.00 μB per cell. Its space group is P4/mmm, No. 123. For the uncorrected energy, the calculation gives -3.0941 eV/atom. For the formation energy, the calculation gives 1.1465 eV/atom.

Cell lengths 6.8833, 6.8833, 3.9122 Å; angles 90.00, 90.00, 90.00 degrees
Element x y z (fractional)
Rb1 0.0000 0.5000 0.0000
Rb2 0.5000 0.0000 0.0000
Sn1 0.0000 0.0000 0.0000
Pt1 0.5000 0.5000 0.5000
C1 0.0000 0.0000 0.5000



Entry 15:
Compound: RbPtW2C
Source: the Alexandria database
Functional: PBE
Structure: relaxed

Properties
The calculation puts the size of the total moment at 0.00 μB per cell. Its space group is P4/mmm, No. 123. For the uncorrected energy, the calculation gives -7.0811 eV/atom. For the formation energy, the calculation gives 1.3466 eV/atom.

Cell lengths 4.2358, 4.2358, 4.8624 Å; angles 90.00, 90.00, 90.00 degrees
Element x y z (fractional)
Rb1 0.0000 0.0000 0.0000
Pt1 0.5000 0.5000 0.0000
W1 0.0000 0.5000 0.5000
W2 0.5000 0.0000 0.5000
C1 0.5000 0.5000 0.5000



Entry 16:
Compound: Re3PtC
Source: the Alexandria database
Functional: PBE
Structure: relaxed

Properties
The calculation puts the size of the total moment at 0.00 μB per cell. For the excess energy over the best structure of this formula in the dataset, the calculation gives 0.000 kcal/mol of atoms. Its space group is Pm-3m, No. 221. For the uncorrected energy, the calculation gives -10.2834 eV/atom. For the formation energy, the calculation gives 0.2384 eV/atom.

Cell lengths 4.0790, 4.0790, 4.0790 Å; angles 90.00, 90.00, 90.00 degrees
Element x y z (fractional)
Re1 0.0000 0.0000 0.5000
Re2 0.0000 0.5000 0.0000
Re3 0.5000 0.0000 0.0000
Pt1 0.5000 0.5000 0.5000
C1 0.0000 0.0000 0.0000



Entry 17:
Compound: Re2PtC
Source: the Alexandria database
Functional: PBE
Structure: relaxed

Properties
The calculation puts the size of the total moment at 0.00 μB per cell. Its space group is I-42d, No. 122. For the uncorrected energy, the calculation gives -9.1628 eV/atom. For the formation energy, the calculation gives 0.8774 eV/atom.

Cell lengths 4.7126, 4.7126, 11.8221 Å; angles 90.00, 90.00, 90.00 degrees
Element x y z (fractional)
Re1 0.1424 0.2500 0.1250
Re2 0.2500 0.6424 0.3750
Re3 0.2500 0.8576 0.8750
Re4 0.3576 0.2500 0.6250
Re5 0.6424 0.7500 0.6250
Re6 0.7500 0.1424 0.8750
Re7 0.7500 0.3576 0.3750
Re8 0.8576 0.7500 0.1250
Pt1 0.0000 0.0000 0.5000
Pt2 0.0000 0.5000 0.7500
Pt3 0.5000 0.0000 0.2500
Pt4 0.5000 0.5000 0.0000
C1 0.0000 0.0000 0.0000
C2 0.0000 0.5000 0.2500
C3 0.5000 0.0000 0.7500
C4 0.5000 0.5000 0.5000



Entry 18:
Compound: Re3PtC
Source: the Alexandria database
Functional: PBE
Structure: relaxed

Properties
The calculation puts the size of the total moment at 1.76 μB per cell. For the excess energy over the best structure of this formula in the dataset, the calculation gives 81.632 kcal/mol of atoms. Its space group is Pm-3m, No. 221. For the uncorrected energy, the calculation gives -6.7435 eV/atom. For the formation energy, the calculation gives 3.7783 eV/atom.

Cell lengths 4.7546, 4.7546, 4.7546 Å; angles 90.00, 90.00, 90.00 degrees
Element x y z (fractional)
Re1 0.0000 0.0000 0.5000
Re2 0.0000 0.5000 0.0000
Re3 0.5000 0.0000 0.0000
Pt1 0.0000 0.0000 0.0000
C1 0.5000 0.5000 0.5000



Entry 19:
Compound: RePtC2
Source: the Alexandria database
Functional: PBE
Structure: relaxed

Properties
The calculation puts the size of the total moment at 0.00 μB per cell. For the excess energy over the best structure of this formula in the dataset, the calculation gives 20.625 kcal/mol of atoms. Its space group is Fm-3m, No. 225. For the uncorrected energy, the calculation gives -7.6603 eV/atom. For the formation energy, the calculation gives 1.5739 eV/atom.

Cell lengths 5.4966, 5.4966, 5.4966 Å; angles 90.00, 90.00, 90.00 degrees
Element x y z (fractional)
Re1 0.0000 0.0000 0.0000
Re2 0.0000 0.5000 0.5000
Re3 0.5000 0.0000 0.5000
Re4 0.5000 0.5000 0.0000
Pt1 0.0000 0.0000 0.5000
Pt2 0.0000 0.5000 0.0000
Pt3 0.5000 0.0000 0.0000
Pt4 0.5000 0.5000 0.5000
C1 0.2500 0.2500 0.2500
C2 0.2500 0.2500 0.7500
C3 0.2500 0.7500 0.2500
C4 0.2500 0.7500 0.7500
C5 0.7500 0.2500 0.2500
C6 0.7500 0.2500 0.7500
C7 0.7500 0.7500 0.2500
C8 0.7500 0.7500 0.7500



Entry 20:
Compound: RePtC2
Source: the Alexandria database
Functional: PBE
Structure: relaxed

Properties
The calculation puts the size of the total moment at 0.00 μB per cell. For the excess energy over the best structure of this formula in the dataset, the calculation gives 0.000 kcal/mol of atoms. Its space group is I-42d, No. 122. For the uncorrected energy, the calculation gives -8.5547 eV/atom. For the formation energy, the calculation gives 0.6795 eV/atom.

Cell lengths 4.7035, 4.7035, 9.3814 Å; angles 90.00, 90.00, 90.00 degrees
Element x y z (fractional)
Re1 0.0000 0.0000 0.0000
Re2 0.0000 0.5000 0.2500
Re3 0.5000 0.0000 0.7500
Re4 0.5000 0.5000 0.5000
Pt1 0.0000 0.0000 0.5000
Pt2 0.0000 0.5000 0.7500
Pt3 0.5000 0.0000 0.2500
Pt4 0.5000 0.5000 0.0000
C1 0.2272 0.2500 0.1250
C2 0.2500 0.7272 0.3750
C3 0.2500 0.7728 0.8750
C4 0.2728 0.2500 0.6250
C5 0.7272 0.7500 0.6250
C6 0.7500 0.2272 0.8750
C7 0.7500 0.2728 0.3750
C8 0.7728 0.7500 0.1250